Computed, not measured: crystalline CoOs2Rh at its relaxed geometry at the PBEsol level of DFT.

Output
Energy relative to the lowest polymorph listed for this composition   375.3 meV per atom
E_form   2.1 eV per formula unit
Calculated total energy   -9.555 eV per atom

abc: 2.633 2.633 8.829
angles: 90.00 90.00 118.10
Each line ends with the local moment (μB).
Positions (direct):
Os (0.000, 0.000, 0.010)  0.33
Os (0.500, 0.500, 0.750)  0.18
Co (0.500, 0.500, 0.250)  1.71
Rh (0.000, 0.000, 0.490)  0.29